Material: SnTeAsI2
Method: DFT, PBE
State: relaxed

**DOS at the Fermi energy**: 0.214 states/eV/atom
**Energy above the lowest structure with this stoichiometry**: 0.000 eV/atom
**Space group**: P4/mmm (123)

Structure (extended XYZ):
```
5
Lattice="5.537 0.000 0.000 0.000 5.537 0.000 0.000 0.000 5.771" Properties=species:S:1:pos:R:3 pbc="T T T"
Sn 0.000 0.000 0.000
Te 2.769 2.769 0.000
As 2.769 2.769 2.886
I 0.000 2.769 2.886
I 2.769 0.000 2.886
```